# 1
VASP calculation (PBE) on an optimized crystal structure of AcThZnRh.

Cell and atoms, written as CIF:
```
data_AcThZnRh
_chemical_formula_sum 'Ac4 Th4 Zn4 Rh4'
_cell_length_a 7.408
_cell_length_b 7.408
_cell_length_c 7.408
_cell_angle_alpha 90.00
_cell_angle_beta 90.00
_cell_angle_gamma 90.00
_symmetry_space_group_name_H-M 'P 1'
_symmetry_Int_Tables_number 1
_symmetry_space_group_name_Hall 'P 1'
loop_
_atom_site_label
_atom_site_type_symbol
_atom_site_fract_x
_atom_site_fract_y
_atom_site_fract_z
Ac1 Ac 0.000 0.000 0.000
Ac2 Ac 0.000 0.500 0.500
Ac3 Ac 0.500 0.000 0.500
Ac4 Ac 0.500 0.500 0.000
Th1 Th 0.000 0.000 0.500
Th2 Th 0.000 0.500 0.000
Th3 Th 0.500 0.000 0.000
Th4 Th 0.500 0.500 0.500
Zn1 Zn 0.250 0.250 0.750
Zn2 Zn 0.250 0.750 0.250
Zn3 Zn 0.750 0.250 0.250
Zn4 Zn 0.750 0.750 0.750
Rh1 Rh 0.250 0.250 0.250
Rh2 Rh 0.250 0.750 0.750
Rh3 Rh 0.750 0.250 0.750
Rh4 Rh 0.750 0.750 0.250
```

Its formation energy is -0.34 eV/atom. Its total magnetization is 0.00 μB/cell. As for the space group: No. 216.

=====

# 2
VASP calculation (PBE) on an optimized crystal structure of AcTi2Rh2.

Cell and atoms, written as CIF:
```
data_AcTi2Rh2
_chemical_formula_sum 'Ac2 Ti4 Rh4'
_cell_length_a 4.342
_cell_length_b 4.342
_cell_length_c 11.092
_cell_angle_alpha 90.00
_cell_angle_beta 90.00
_cell_angle_gamma 90.00
_symmetry_space_group_name_H-M 'P 1'
_symmetry_Int_Tables_number 1
_symmetry_space_group_name_Hall 'P 1'
loop_
_atom_site_label
_atom_site_type_symbol
_atom_site_fract_x
_atom_site_fract_y
_atom_site_fract_z
Ac1 Ac 0.000 0.000 0.000
Ac2 Ac 0.500 0.500 0.500
Ti1 Ti 0.000 0.500 0.250
Ti2 Ti 0.000 0.500 0.750
Ti3 Ti 0.500 0.000 0.250
Ti4 Ti 0.500 0.000 0.750
Rh1 Rh 0.000 0.000 0.371
Rh2 Rh 0.000 0.000 0.629
Rh3 Rh 0.500 0.500 0.129
Rh4 Rh 0.500 0.500 0.871
```

Its formation energy is -0.63 eV/atom. Its total magnetization is 0.00 μB/cell. As for the space group: No. 139.

=====

# 3
VASP calculation (PBE) on an optimized crystal structure of AcTiRh2.

Cell and atoms, written as CIF:
```
data_AcTiRh2
_chemical_formula_sum 'Ac3 Ti3 Rh6'
_cell_length_a 4.230
_cell_length_b 4.230
_cell_length_c 16.824
_cell_angle_alpha 90.00
_cell_angle_beta 90.00
_cell_angle_gamma 120.00
_symmetry_space_group_name_H-M 'P 1'
_symmetry_Int_Tables_number 1
_symmetry_space_group_name_Hall 'P 1'
loop_
_atom_site_label
_atom_site_type_symbol
_atom_site_fract_x
_atom_site_fract_y
_atom_site_fract_z
Ac1 Ac 0.000 0.000 0.000
Ac2 Ac 0.333 0.667 0.667
Ac3 Ac 0.667 0.333 0.333
Ti1 Ti 0.000 0.000 0.500
Ti2 Ti 0.333 0.667 0.167
Ti3 Ti 0.667 0.333 0.833
Rh1 Rh 0.000 0.000 0.214
Rh2 Rh 0.000 0.000 0.786
Rh3 Rh 0.333 0.667 0.453
Rh4 Rh 0.333 0.667 0.881
Rh5 Rh 0.667 0.333 0.119
Rh6 Rh 0.667 0.333 0.547
```

Its formation energy is -0.61 eV/atom. Its total magnetization is 0.00 μB/cell. As for the space group: No. 166.